A | {"formula": "Y2CoW", "functional": "PBEsol", "state": "relaxed", "dos_at_fermi_per_ev_cell": 4.278, "m_tot_mub_per_cell": 0.00, "lattice": [[-0.335, 1.790, -3.480], [-3.479, 1.409, -1.156], [0.262, 7.407, 1.568]], "species": ["W", "Y", "Y", "Co"], "frac_coords": [[0.213, 0.213, 0.360], [0.970, 0.970, 0.089], [0.781, 0.781, 0.656], [0.535, 0.535, 0.395]]}

B | {"formula": "Y2CoW", "functional": "PBEsol", "state": "relaxed", "dos_at_fermi_per_ev_cell": 5.565, "m_tot_mub_per_cell": 0.04, "lattice": [[3.184, 0.000, 0.000], [0.000, 4.956, 0.000], [0.000, 0.000, 4.954]], "species": ["Y", "Y", "Co", "W"], "frac_coords": [[0.000, 0.000, 0.000], [0.000, 0.500, 0.500], [0.500, 0.500, 0.000], [0.500, 0.000, 0.500]]}

C | {"formula": "Y2CoW", "functional": "PBEsol", "state": "relaxed", "dos_at_fermi_per_ev_cell": 3.900, "m_tot_mub_per_cell": 0.00, "lattice": [[-2.443, 1.532, -1.166], [-0.863, -2.554, -1.552], [-4.382, -2.279, 6.186]], "species": ["W", "Y", "Y", "Co"], "frac_coords": [[0.500, 0.500, 0.000], [0.000, 0.000, 0.282], [0.000, 0.000, 0.718], [0.500, 0.500, 0.500]]}

Most favorable first, least favorable last: A, C, B

A | {"formula": "Zn2CoW", "functional": "PBEsol", "state": "relaxed", "dos_at_fermi_per_ev_cell": 4.363, "m_tot_mub_per_cell": 1.83, "lattice": [[2.568, 0.000, 0.000], [0.000, 4.793, -0.009], [0.000, -1.991, 4.360]], "species": ["Zn", "Zn", "W", "Co"], "frac_coords": [[0.000, 0.000, 0.500], [0.000, 0.500, 0.000], [0.500, 0.500, 0.500], [0.500, 0.000, 0.000]]}

B | {"formula": "Zn2CoW", "functional": "PBEsol", "state": "relaxed", "dos_at_fermi_per_ev_cell": 2.676, "m_tot_mub_per_cell": 0.00, "lattice": [[-0.268, -2.394, 1.071], [2.548, -1.718, -3.203], [2.495, 2.771, 3.575]], "species": ["W", "Zn", "Zn", "Co"], "frac_coords": [[0.500, 0.000, 0.000], [0.270, 0.270, 0.539], [0.730, 0.730, 0.461], [0.000, 0.500, 0.000]]}

C | {"formula": "Zn2CoW", "functional": "PBEsol", "state": "relaxed", "dos_at_fermi_per_ev_cell": 3.252, "m_tot_mub_per_cell": 0.01, "lattice": [[-3.432, -1.841, -0.225], [2.612, -0.310, -3.488], [0.961, -2.171, 3.096]], "species": ["Co", "W", "Zn", "Zn"], "frac_coords": [[0.500, 0.000, 0.500], [0.250, 0.500, 0.750], [0.750, 0.500, 0.250], [0.000, 0.000, 0.000]]}

Most favorable first, least favorable last: B, C, A